Entry 1:
DFT (PBE) results for a relaxed Pm12SmSb6 crystal.

The space group is R-3 (No. 148, hexagonal axes) and the conventional cell measures 14.1907, 14.1907 and 11.3673 Å, with angles of 90.00, 90.00 and 120.00 degrees. The asymmetric unit holds Pm at (0.0242, 0.8358, 0.3637), Pm at (0.0658, 0.8373, 0.8990), Sm at (0.0000, 0.0000, 0.0000) and Sb at (0.0311, 0.7670, 0.6336).

For the raw formation energy, the calculation gives -907 kJ/mol of formula units.

=====

Entry 2:
DFT (PBE) results for a relaxed Th2Mg3Sn3 crystal.

The space group is Pmmm (No. 47) and the conventional cell measures 4.770, 4.828 and 9.098 Å, with angles of 90.00, 90.00 and 90.00 degrees. The asymmetric unit holds Th at (0.000, 0.000, 0.242), Mg at (0.000, 0.500, 0.500), Mg at (0.500, 0.500, 0.256), Sn at (0.000, 0.500, 0.000), Sn at (0.500, 0.000, 0.000) and Sn at (0.500, 0.000, 0.500).

The calculation puts the formation energy from the elements at -349 meV/atom.

=====

Entry 3:
DFT (PBE) results for a relaxed NdZn3Pd2 crystal.

The space group is C2/m (No. 12) and the conventional cell measures 14.171, 4.208 and 8.351 Å, with angles of 90.00, 117.37 and 90.00 degrees. The asymmetric unit holds Nd at (0.138, 0.000, 0.029), Zn at (0.048, 0.000, 0.385), Zn at (0.094, 0.500, 0.701), Zn at (0.200, 0.500, 0.512), Pd at (0.048, 0.500, 0.188) and Pd at (0.211, 0.000, 0.714).

The calculation puts the formation energy from the elements at -503 meV/atom.

=====

Entry 4:
DFT (PBE) results for a relaxed Rb4N2Cl5 crystal.

The space group is P-1 (No. 2) and the conventional cell measures 4.930, 10.479 and 10.609 Å, with angles of 66.16, 76.61 and 89.92 degrees. The asymmetric unit holds Rb at (0.008, 0.305, 0.486), Rb at (0.277, 0.832, 0.946), N at (0.500, 0.054, 0.498), Cl at (0.151, 0.947, 0.199), Cl at (0.154, 0.267, 0.192) and Cl at (0.500, 0.500, 0.500).

For the raw formation energy, the calculation gives -1341 kJ/mol of formula units.

=====

Entry 5:
DFT (PBE) results for a relaxed PaIBr crystal.

The space group is P-1 (No. 2) and the conventional cell measures 3.673, 6.327 and 9.317 Å, with angles of 109.08, 97.37 and 90.01 degrees. The asymmetric unit holds Pa at (0.250, 0.247, 0.001), I at (0.164, 0.457, 0.737) and Br at (0.328, 0.030, 0.238).

For the raw formation energy, the calculation gives -280 kJ/mol of formula units.

=====

Entry 6:
DFT (PBE) results for a relaxed Tb4CoPb crystal.

The space group is C2/m (No. 12) and the conventional cell measures 16.371, 7.135 and 5.914 Å, with angles of 90.00, 110.85 and 90.00 degrees. The asymmetric unit holds Tb at (0.000, 0.216, 0.000), Tb at (0.115, 0.255, 0.612), Tb at (0.179, 0.500, 0.174), Co at (0.001, 0.500, 0.730) and Pb at (0.196, 0.000, 0.198).

The calculation puts the formation energy from the elements at -293 meV/atom.